LaErSbI2 PBE-GGA optimized geometry; final energy = -4.661 eV per atom
1.0
4.429 0.000 0.000
-2.214 3.836 0.000
0.000 0.000 11.438
Er I La Sb
1 2 1 1
Direct
0.333 0.667 0.847
0.333 0.667 0.333
0.667 0.333 0.683
0.667 0.333 0.151
0.000 0.000 0.986

=====

ErLu6I PBE-GGA optimized geometry; final energy = -4.158 eV per atom
1.0
6.940 0.000 0.000
-3.470 6.010 0.000
0.000 0.000 5.556
Er I Lu
1 1 6
Direct
0.333 0.667 0.000
0.000 0.000 0.500
0.833 0.167 0.000
0.334 0.167 0.000
0.833 0.666 0.000
0.001 0.500 0.500
0.500 0.500 0.500
0.500 0.999 0.500

=====

Nd2Er2I5N PBE-GGA optimized geometry; final energy = -4.754 eV per atom
1.0
9.786 -1.983 0.000
9.786 1.983 0.000
-1.897 0.000 8.547
Er I N Nd
2 5 1 2
Direct
0.620 0.620 0.059
0.380 0.380 0.941
0.834 0.834 0.165
0.165 0.165 0.325
0.500 0.500 0.500
0.835 0.835 0.675
0.166 0.166 0.835
0.500 0.500 0.000
0.000 0.000 0.194
0.000 0.000 0.806

=====

Question: The highest final energy belongs to which entry?
Answer: ErLu6I

=====

Repeat the second record exactly.
ErLu6I PBE-GGA optimized geometry; final energy = -4.158 eV per atom
1.0
6.940 0.000 0.000
-3.470 6.010 0.000
0.000 0.000 5.556
Er I Lu
1 1 6
Direct
0.333 0.667 0.000
0.000 0.000 0.500
0.833 0.167 0.000
0.334 0.167 0.000
0.833 0.666 0.000
0.001 0.500 0.500
0.500 0.500 0.500
0.500 0.999 0.500

=====

Please write out number 1 again, unchanged.
LaErSbI2 PBE-GGA optimized geometry; final energy = -4.661 eV per atom
1.0
4.429 0.000 0.000
-2.214 3.836 0.000
0.000 0.000 11.438
Er I La Sb
1 2 1 1
Direct
0.333 0.667 0.847
0.333 0.667 0.333
0.667 0.333 0.683
0.667 0.333 0.151
0.000 0.000 0.986